Rb2Co2H | PBE | optimized geometry

a b c (Å): 8.4440 8.4440 4.4951
angles (deg): 90.00 90.00 90.00
Last column: nearest neighbours and their distance in Å.
Atoms (fractional coordinates):
Rb1 0.7984 0.2984 0.5000  6 Co 3.40-3.45, 4 H 3.78
Rb2 0.2984 0.2016 0.5000  6 Co 3.40-3.45, 4 H 3.78
Co1 0.5853 0.0853 0.0000  1 Co 2.04
H1 0.0000 0.0000 0.0000  4 Co 3.58, 8 Rb 3.78
Co2 0.0853 0.4147 0.0000  1 Co 2.04
H2 0.5000 0.5000 0.0000  4 Co 3.58, 8 Rb 3.78
Co3 0.9147 0.5853 0.0000  1 Co 2.04
Co4 0.4147 0.9147 0.0000  1 Co 2.04
Rb3 0.2016 0.7016 0.5000  6 Co 3.40-3.45, 4 H 3.78
Rb4 0.7016 0.7984 0.5000  6 Co 3.40-3.45, 4 H 3.78

density: 3003 kg/m3
total DFT energy (no corrections): -0.2013 Ry/atom
ΔE to the lowest computed polymorph: 4.61 kcal/mol of atoms